No. 1
! CsZr2Ti2O7 PBE relaxed; values from VASP
! ΔE_f (raw) ... -271.6 kJ per mole of atoms
! VASP energy ... -8.5184 eV per atom
! Space group ... I4/mmm
&SYSTEM
  ibrav = 0, nat = 12, ntyp = 4
/
ATOMIC_SPECIES
Cs 132.91 Cs.upf
Zr 91.22 Zr.upf
Ti 47.87 Ti.upf
O 16.00 O.upf
ATOMIC_POSITIONS angstrom
Cs 0.000 4.245 0.000
Zr 0.000 0.000 6.802
Zr 2.123 2.123 2.078
Ti 0.000 2.123 4.440
Ti 2.123 0.000 4.440
O 0.000 2.122 6.517
O 2.123 2.122 4.371
O 0.000 2.123 2.363
O 2.123 0.000 2.363
O 0.000 0.000 4.509
O 2.122 0.000 6.517
O 0.000 0.000 8.880
CELL_PARAMETERS angstrom
4.246 0.000 0.000
0.000 4.246 0.000
-2.123 -2.123 8.880

No. 2
! CsTlO2 PBE relaxed; values from VASP
! ΔE_f (raw) ... -66.8 kJ per mole of atoms
! VASP energy ... -3.9767 eV per atom
! Space group ... P1
&SYSTEM
  ibrav = 0, nat = 4, ntyp = 3
/
ATOMIC_SPECIES
Cs 132.91 Cs.upf
Tl 204.38 Tl.upf
O 16.00 O.upf
ATOMIC_POSITIONS angstrom
Cs -5.882 0.930 -1.542
Tl -3.070 -0.263 -3.720
O -5.344 0.675 -4.456
O -3.155 -0.152 -1.131
CELL_PARAMETERS angstrom
-1.436 2.087 -2.919
-0.283 -2.725 -4.185
-6.257 -0.174 0.188

No. 3
! CsTl3O3 PBE relaxed; values from VASP
! ΔE_f (raw) ... -65.4 kJ per mole of atoms
! VASP energy ... -3.9387 eV per atom
! Space group ... R-3m
&SYSTEM
  ibrav = 0, nat = 14, ntyp = 3
/
ATOMIC_SPECIES
Cs 132.91 Cs.upf
Tl 204.38 Tl.upf
O 16.00 O.upf
ATOMIC_POSITIONS angstrom
Cs 3.869 2.234 0.659
Cs 11.606 6.701 6.616
Tl 7.741 6.919 4.766
Tl 9.859 3.238 4.766
Tl 5.612 3.245 4.766
Tl 9.863 5.690 2.509
Tl 5.616 5.697 2.509
Tl 7.734 2.015 2.509
O 5.909 3.415 2.413
O 9.563 3.410 2.413
O 7.741 6.577 2.413
O 7.734 2.358 4.862
O 5.912 5.525 4.862
O 9.566 5.520 4.862
CELL_PARAMETERS angstrom
7.738 0.000 0.000
3.869 6.701 0.000
3.869 2.234 7.275

Which of these has the lowest VASP energy?
CsZr2Ti2O7

What is the VASP energy in the second record?
-3.9767 eV per atom

Which value of VASP energy does entry 3 give?
-3.9387 eV per atom